Entry 1:
Computed, not measured: AcMg2Pt after structural relaxation at the PBE-GGA level of DFT.

Summary:
**Energy above the most stable polymorph in this dataset**: 28 meV per atom
**DFT total energy**: -4.01 eV/atom
**Calculated density**: 7.8 g cm⁻³
**Density of states at the Fermi level**: 19.87 states/eV/cell
**ΔE_f**: -0.6751 eV per atom

abc: 16.3361 8.2969 5.9051
angles: 90.00 90.00 90.00
Space group Pnma (No. 62)
One atom of each set of equivalent atoms:
Ac  0.1038  0.2500  0.2294 [4 per cell]
Ac  0.1350  0.7500  0.0405 [4 per cell]
Mg  0.0436  0.0589  0.7173 [8 per cell]
Mg  0.2109  0.5568  0.5344 [8 per cell]
Pt  0.0689  0.7500  0.5293 [4 per cell]
Pt  0.1867  0.2500  0.7443 [4 per cell]

Entry 2:
Computed, not measured: DyHo2Mg3 after structural relaxation at the PBE-GGA level of DFT.

Summary:
**DFT total energy**: -3.17 eV/atom
**Calculated density**: 5.8 g cm⁻³
**Density of states at the Fermi level**: 8.67 states/eV/cell
**ΔE_f**: -0.0750 eV per atom

abc: 3.7851 3.7851 11.2904
angles: 90.00 90.00 90.00
Space group P4/mmm (No. 123)
One atom of each set of equivalent atoms:
Dy  0.0000  0.0000  0.0000 [1 per cell]
Ho  0.0000  0.0000  0.3338 [2 per cell]
Mg  0.5000  0.5000  0.1677 [2 per cell]
Mg  0.5000  0.5000  0.5000 [1 per cell]

Entry 3:
Computed, not measured: Cs5InF8 after structural relaxation at the PBE-GGA level of DFT.

Summary:
**Energy relative to the elements, uncorrected**: -36.06 eV/f.u.
**DFT total energy**: -4.15 eV/atom
**Calculated density**: 4.9 g cm⁻³
**Density of states at the Fermi level**: 0.00 states/eV/cell

abc: 8.4439 8.4439 8.7811
angles: 90.00 90.00 90.00
Space group I-4 (No. 82)
One atom of each set of equivalent atoms:
Cs  0.0000  0.0000  0.0000 [2 per cell]
Cs  0.1232  0.2538  0.3698 [8 per cell]
In  0.0000  0.5000  0.7500 [2 per cell]
F  0.0603  0.3451  0.9906 [8 per cell]
F  0.0683  0.2614  0.6927 [8 per cell]

Entry 4:
Computed, not measured: CaY2Ga after structural relaxation at the PBE-GGA level of DFT.

Summary:
**DFT total energy**: -4.51 eV/atom
**Calculated density**: 3.9 g cm⁻³
**Density of states at the Fermi level**: 14.11 states/eV/cell
**ΔE_f**: -0.0213 eV per atom

abc: 8.7149 8.7149 6.5188
angles: 90.00 90.00 90.00
Space group I-42d (No. 122)
One atom of each set of equivalent atoms:
Ca  0.0000  0.0000  0.0000 [4 per cell]
Y  0.1939  0.2500  0.6250 [8 per cell]
Ga  0.0000  0.0000  0.5000 [4 per cell]